# 1
A relaxed structure of LiHg3N. Source: Alexandria, functional PBE-GGA.

```
LiHg3N
1.0
5.221 0.000 0.000
0.000 5.221 0.000
0.000 0.000 5.221
Hg N Li
3 1 1
direct
0.500 0.000 0.000 Hg
0.000 0.500 0.000 Hg
0.000 0.000 0.500 Hg
0.500 0.500 0.500 N
0.000 0.000 0.000 Li
```

Summary:
Formation energy from raw total energies = 4.81 eV per formula unit
SG = Pm-3m, No. 221

***

# 2
A relaxed structure of Li3HgN. Source: Alexandria, functional PBE-GGA.

```
Li3HgN
1.0
4.072 0.000 0.000
0.000 4.072 0.000
0.000 0.000 4.072
Li Hg N
3 1 1
direct
0.500 0.000 0.000 Li
0.000 0.000 0.500 Li
0.000 0.500 0.000 Li
0.500 0.500 0.500 Hg
0.000 0.000 0.000 N
```

Summary:
Formation energy from raw total energies = -1.58 eV per formula unit
SG = Pm-3m, No. 221

***

Number 1: offset from the most stable computed form 250 meV/atom. Number 2: offset from the most stable computed form 0 meV/atom.